LiTmInF6 | PBE-GGA | relaxed

Computed properties:
N(E_F) (states/eV per atom): 0.3742
M_tot (μB/cell): 0.000
E_form (uncorrected) (eV per atom): -3.0494
Crystal system: trigonal
V (A^3/atom): 14.7

```
data_LiTmInF6
_chemical_formula_sum 'Li2 Tm2 In2 F12'
_space_group_name_H-M_alt 'P -3 1 c'
_space_group_IT_number 163
_space_group_name_Hall '-P 3 2c'
_cell_length_a 5.8540
_cell_length_b 5.8540
_cell_length_c 8.8943
_cell_angle_alpha 90.00
_cell_angle_beta 90.00
_cell_angle_gamma 120.00
loop_
_atom_site_label
_atom_site_type_symbol
_atom_site_fract_x
_atom_site_fract_y
_atom_site_fract_z
_atom_site_occupancy
Li1 Li 0.0000 0.0000 0.0000 1
Tm1 Tm 0.3333 0.6667 0.2500 1
In1 In 0.3333 0.6667 0.7500 1
F1 F 0.0232 0.3429 0.1247 1
```